First-principles (PBE) data for crystalline K2HgSb2 at its relaxed geometry, as listed in the Alexandria database.

Unit cell a=4.3533 b=4.3533 c=20.6578 alpha=90.00 beta=90.00 gamma=90.00
Space group I4/mmm (No. 139)
Asymmetric unit:
K 0.0000 0.0000 0.1089 (multiplicity 4)
Hg 0.0000 0.0000 0.5000 (multiplicity 2)
Sb 0.0000 0.5000 0.2500 (multiplicity 4)

Results
* ΔE_f (raw): -0.93 eV/f.u.
* electronic total energy: -2.33 eV/atom
* magnetization: 0.0 μB per formula unit
* Fermi-level density of states: 4.01 states/eV/f.u.
* E above lowest polymorph: 0.874 eV/f.u.

***

First-principles (PBE) data for crystalline KHgSb2 at its relaxed geometry, as listed in the Alexandria database.

Unit cell a=3.3461 b=5.7436 c=6.4008 alpha=90.00 beta=90.00 gamma=90.00
Space group Pmmm (No. 47)
Asymmetric unit:
K 0.0000 0.0000 0.0000 (multiplicity 1)
Hg 0.5000 0.0000 0.5000 (multiplicity 1)
Sb 0.5000 0.5000 0.2272 (multiplicity 2)

Results
* ΔE_f (raw): -0.55 eV/f.u.
* electronic total energy: -2.55 eV/atom
* magnetization: 0.0 μB per formula unit
* Fermi-level density of states: 1.54 states/eV/f.u.

***

First-principles (PBE) data for crystalline KHgSb at its relaxed geometry, as listed in the Alexandria database.

Unit cell a=3.6410 b=3.6410 c=8.2245 alpha=90.00 beta=90.00 gamma=120.00
Space group P3m1 (No. 156)
Asymmetric unit:
K 0.0000 0.0000 0.0000 (multiplicity 1)
Hg 0.3333 0.6667 0.6700 (multiplicity 1)
Sb 0.6667 0.3333 0.3543 (multiplicity 1)

Results
* ΔE_f (raw): -0.12 eV/f.u.
* electronic total energy: -1.88 eV/atom
* magnetization: 0.0 μB per formula unit
* Fermi-level density of states: 1.29 states/eV/f.u.

***

First-principles (PBE) data for crystalline KHgSb at its relaxed geometry, as listed in the Alexandria database.

Unit cell a=12.9558 b=12.9558 c=5.5033 alpha=90.00 beta=90.00 gamma=90.00
Space group I4/mmm (No. 139)
Asymmetric unit:
K 0.0000 0.2325 0.0000 (multiplicity 8)
Hg 0.2061 0.2061 0.5000 (multiplicity 8)
Sb 0.0000 0.3925 0.5000 (multiplicity 8)

Results
* ΔE_f (raw): -0.38 eV/f.u.
* electronic total energy: -1.97 eV/atom
* magnetization: 0.0 μB per formula unit
* Fermi-level density of states: 1.13 states/eV/f.u.

***

First-principles (PBE) data for crystalline KHg4Sb2 at its relaxed geometry, as listed in the Alexandria database.

Unit cell a=5.6763 b=14.2613 c=5.3793 alpha=90.00 beta=90.00 gamma=90.00
Space group Cmmm (No. 65)
Asymmetric unit:
K 0.0000 0.0000 0.0000 (multiplicity 2)
Hg 0.0000 0.1609 0.5000 (multiplicity 4)
Hg 0.0000 0.2867 0.0000 (multiplicity 4)
Sb 0.0000 0.3961 0.5000 (multiplicity 4)

Results
* ΔE_f (raw): -0.67 eV/f.u.
* electronic total energy: -1.60 eV/atom
* magnetization: 0.0 μB per formula unit
* Fermi-level density of states: 2.14 states/eV/f.u.

***

First-principles (PBE) data for crystalline KHg2Sb at its relaxed geometry, as listed in the Alexandria database.

Unit cell a=3.6918 b=3.6918 c=8.8043 alpha=90.00 beta=90.00 gamma=90.00
Space group P4/mmm (No. 123)
Asymmetric unit:
K 0.0000 0.0000 0.0000 (multiplicity 1)
Hg 0.5000 0.5000 0.2673 (multiplicity 2)
Sb 0.0000 0.0000 0.5000 (multiplicity 1)

Results
* ΔE_f (raw): -0.39 eV/f.u.
* electronic total energy: -1.55 eV/atom
* magnetization: 0.0 μB per formula unit
* Fermi-level density of states: 1.54 states/eV/f.u.

***

First-principles (PBE) data for crystalline K3HgSb2 at its relaxed geometry, as listed in the Alexandria database.

Unit cell a=6.8672 b=13.2362 c=11.6876 alpha=90.00 beta=105.95 gamma=90.00
Space group P2_1/c (No. 14)
Asymmetric unit:
K 0.1701 0.2285 0.3364 (multiplicity 4)
K 0.2092 0.5910 0.9781 (multiplicity 4)
K 0.2883 0.5369 0.6056 (multiplicity 4)
Hg 0.3935 0.6884 0.3280 (multiplicity 4)
Sb 0.1728 0.5089 0.2804 (multiplicity 4)
Sb 0.3677 0.1389 0.6325 (multiplicity 4)

Results
* ΔE_f (raw): -2.08 eV/f.u.
* electronic total energy: -2.32 eV/atom
* magnetization: 0.0 μB per formula unit
* Fermi-level density of states: 3.35 states/eV/f.u.

***

First-principles (PBE) data for crystalline KHgSbSe3 at its relaxed geometry, as listed in the Alexandria database.

Unit cell a=9.2028 b=4.2723 c=10.1783 alpha=90.00 beta=101.59 gamma=90.00
Space group P2_1/m (No. 11)
Asymmetric unit:
K 0.1770 0.2500 0.2298 (multiplicity 2)
Hg 0.1040 0.2500 0.6132 (multiplicity 2)
Sb 0.3452 0.7500 0.8727 (multiplicity 2)
Se 0.1371 0.2500 0.8829 (multiplicity 2)
Se 0.2100 0.7500 0.5004 (multiplicity 2)
Se 0.4275 0.7500 0.1339 (multiplicity 2)

Results
* ΔE_f (raw): -3.11 eV/f.u.
* electronic total energy: -3.18 eV/atom
* magnetization: 0.0 μB per formula unit

***

First-principles (PBE) data for crystalline K2HgSbSe4 at its relaxed geometry, as listed in the Alexandria database.

Unit cell a=7.8472 b=7.8472 c=9.1632 alpha=90.00 beta=90.00 gamma=90.00
Space group I-4 (No. 82)
Asymmetric unit:
K 0.0000 0.0000 0.0000 (multiplicity 2)
K 0.0000 0.5000 0.2500 (multiplicity 2)
Hg 0.0000 0.0000 0.5000 (multiplicity 2)
Sb 0.0000 0.5000 0.7500 (multiplicity 2)
Se 0.1781 0.2676 0.6054 (multiplicity 8)

Results
* ΔE_f (raw): -4.54 eV/f.u.
* electronic total energy: -3.14 eV/atom
* magnetization: 0.6 μB per formula unit
* Fermi-level density of states: 5.43 states/eV/f.u.

***

First-principles (PBE) data for crystalline KHg2SbSe4 at its relaxed geometry, as listed in the Alexandria database.

Unit cell a=7.2254 b=8.4737 c=8.8042 alpha=90.00 beta=90.00 gamma=90.00
Space group I222 (No. 23)
Asymmetric unit:
K 0.0000 0.0000 0.0000 (multiplicity 2)
Hg 0.0000 0.5000 0.1886 (multiplicity 4)
Sb 0.0000 0.0000 0.5000 (multiplicity 2)
Se 0.2284 0.1844 0.3136 (multiplicity 8)

Results
* ΔE_f (raw): -2.96 eV/f.u.
* electronic total energy: -2.84 eV/atom
* magnetization: 0.0 μB per formula unit

***

First-principles (PBE) data for crystalline KSnHgSb at its relaxed geometry, as listed in the Alexandria database.

Unit cell a=7.9057 b=7.9057 c=7.9057 alpha=90.00 beta=90.00 gamma=90.00
Space group F-43m (No. 216)
Asymmetric unit:
K 0.0000 0.0000 0.0000 (multiplicity 4)
Sn 0.0000 0.0000 0.5000 (multiplicity 4)
Hg 0.2500 0.2500 0.7500 (multiplicity 4)
Sb 0.2500 0.2500 0.2500 (multiplicity 4)

Results
* ΔE_f (raw): -0.50 eV/f.u.
* electronic total energy: -2.51 eV/atom
* magnetization: 0.0 μB per formula unit
* Fermi-level density of states: 0.54 states/eV/f.u.
* E above lowest polymorph: 0.358 eV/f.u.

***

First-principles (PBE) data for crystalline K3Sn2Hg2Sb4 at its relaxed geometry, as listed in the Alexandria database.

Unit cell a=5.0528 b=5.0528 c=18.2378 alpha=90.00 beta=90.00 gamma=120.00
Space group P-3m1 (No. 164)
Asymmetric unit:
K 0.0000 0.0000 0.0000 (multiplicity 1)
K 0.0000 0.0000 0.2713 (multiplicity 2)
Sn 0.3333 0.6667 0.5615 (multiplicity 2)
Hg 0.3333 0.6667 0.1362 (multiplicity 2)
Sb 0.3333 0.6667 0.3983 (multiplicity 2)
Sb 0.3333 0.6667 0.8603 (multiplicity 2)

Results
* ΔE_f (raw): -2.90 eV/f.u.
* electronic total energy: -2.84 eV/atom
* magnetization: 0.0 μB per formula unit
* Fermi-level density of states: 2.79 states/eV/f.u.

***

First-principles (PBE) data for crystalline KSnHg2Sb at its relaxed geometry, as listed in the Alexandria database.

Unit cell a=5.7660 b=5.7660 c=5.9361 alpha=90.00 beta=90.00 gamma=90.00
Space group P4/mmm (No. 123)
Asymmetric unit:
K 0.0000 0.0000 0.0000 (multiplicity 1)
Sn 0.5000 0.5000 0.5000 (multiplicity 1)
Hg 0.0000 0.5000 0.5000 (multiplicity 2)
Sb 0.5000 0.5000 0.0000 (multiplicity 1)

Results
* ΔE_f (raw): -0.02 eV/f.u.
* electronic total energy: -1.97 eV/atom
* magnetization: 0.0 μB per formula unit
* Fermi-level density of states: 2.75 states/eV/f.u.

***

First-principles (PBE) data for crystalline KSnHgSb at its relaxed geometry, as listed in the Alexandria database.

Unit cell a=4.3285 b=5.5274 c=12.3082 alpha=90.00 beta=90.00 gamma=90.00
Space group Imm2 (No. 44)
Asymmetric unit:
K 0.0000 0.0000 0.0000 (multiplicity 2)
Sn 0.0000 0.5000 0.2345 (multiplicity 2)
Hg 0.0000 0.0000 0.3257 (multiplicity 2)
Sb 0.0000 0.0000 0.5819 (multiplicity 2)

Results
* ΔE_f (raw): -0.86 eV/f.u.
* electronic total energy: -2.60 eV/atom
* magnetization: 0.0 μB per formula unit
* Fermi-level density of states: 1.10 states/eV/f.u.
* E above lowest polymorph: 0.000 eV/f.u.

***

First-principles (PBE) data for crystalline KHgSb2Te at its relaxed geometry, as listed in the Alexandria database.

Unit cell a=5.6204 b=5.6204 c=5.9984 alpha=90.00 beta=90.00 gamma=90.00
Space group P4/mmm (No. 123)
Asymmetric unit:
K 0.0000 0.0000 0.0000 (multiplicity 1)
Hg 0.5000 0.5000 0.5000 (multiplicity 1)
Sb 0.0000 0.5000 0.5000 (multiplicity 2)
Te 0.5000 0.5000 0.0000 (multiplicity 1)

Results
* ΔE_f (raw): 1.19 eV/f.u.
* electronic total energy: -2.32 eV/atom
* magnetization: 0.6 μB per formula unit
* Fermi-level density of states: 4.23 states/eV/f.u.
* E above lowest polymorph: 0.000 eV/f.u.

***

First-principles (PBE) data for crystalline KHgSb2Te at its relaxed geometry, as listed in the Alexandria database.

Unit cell a=6.0248 b=6.0248 c=6.0048 alpha=90.00 beta=90.00 gamma=90.00
Space group P4/mmm (No. 123)
Asymmetric unit:
K 0.0000 0.0000 0.0000 (multiplicity 1)
Hg 0.5000 0.5000 0.5000 (multiplicity 1)
Sb 0.0000 0.5000 0.0000 (multiplicity 2)
Te 0.0000 0.0000 0.5000 (multiplicity 1)

Results
* ΔE_f (raw): 4.99 eV/f.u.
* electronic total energy: -1.56 eV/atom
* magnetization: 0.4 μB per formula unit
* Fermi-level density of states: 5.90 states/eV/f.u.
* E above lowest polymorph: 3.800 eV/f.u.

***

First-principles (PBE) data for crystalline K3Hg4Sb2Te2 at its relaxed geometry, as listed in the Alexandria database.

Unit cell a=5.7666 b=5.7666 c=26.5913 alpha=90.00 beta=90.00 gamma=90.00
Space group I4/mmm (No. 139)
Asymmetric unit:
K 0.0000 0.0000 0.0000 (multiplicity 2)
K 0.0000 0.0000 0.1875 (multiplicity 4)
Hg 0.0000 0.5000 0.0824 (multiplicity 8)
Sb 0.0000 0.0000 0.4260 (multiplicity 4)
Te 0.0000 0.0000 0.3196 (multiplicity 4)

Results
* ΔE_f (raw): -3.06 eV/f.u.
* electronic total energy: -2.01 eV/atom
* magnetization: 0.0 μB per formula unit
* Fermi-level density of states: 2.12 states/eV/f.u.

***

First-principles (PBE) data for crystalline KHgSbTe2 at its relaxed geometry, as listed in the Alexandria database.

Unit cell a=5.8948 b=5.8948 c=5.5135 alpha=90.00 beta=90.00 gamma=90.00
Space group P4/mmm (No. 123)
Asymmetric unit:
K 0.0000 0.0000 0.0000 (multiplicity 1)
Hg 0.5000 0.5000 0.5000 (multiplicity 1)
Sb 0.5000 0.5000 0.0000 (multiplicity 1)
Te 0.0000 0.5000 0.5000 (multiplicity 2)

Results
* ΔE_f (raw): 0.56 eV/f.u.
* electronic total energy: -2.25 eV/atom
* magnetization: 0.0 μB per formula unit
* Fermi-level density of states: 4.25 states/eV/f.u.
* E above lowest polymorph: 0.000 eV/f.u.

***

First-principles (PBE) data for crystalline K2HgSbTe4 at its relaxed geometry, as listed in the Alexandria database.

Unit cell a=12.7580 b=13.5877 c=8.8464 alpha=90.00 beta=129.17 gamma=90.00
Space group C2/c (No. 15)
Asymmetric unit:
K 0.0000 0.0000 0.0000 (multiplicity 4)
K 0.2500 0.2500 0.0000 (multiplicity 4)
Hg 0.2500 0.2500 0.5000 (multiplicity 4)
Sb 0.0000 0.5000 0.0000 (multiplicity 4)
Te 0.0331 0.2693 0.5007 (multiplicity 8)
Te 0.2138 0.5003 0.4474 (multiplicity 8)

Results
* ΔE_f (raw): -3.02 eV/f.u.
* electronic total energy: -2.78 eV/atom
* magnetization: 0.0 μB per formula unit
* Fermi-level density of states: 10.16 states/eV/f.u.

***

First-principles (PBE) data for crystalline KHgSbTe3 at its relaxed geometry, as listed in the Alexandria database.

Unit cell a=9.4151 b=4.5487 c=10.7119 alpha=90.00 beta=105.11 gamma=90.00
Space group P2_1/m (No. 11)
Asymmetric unit:
K 0.2022 0.2500 0.2589 (multiplicity 2)
Hg 0.0867 0.2500 0.6191 (multiplicity 2)
Sb 0.3291 0.7500 0.8748 (multiplicity 2)
Te 0.1095 0.2500 0.8903 (multiplicity 2)
Te 0.2332 0.7500 0.5387 (multiplicity 2)
Te 0.4491 0.7500 0.1513 (multiplicity 2)

Results
* ΔE_f (raw): -2.38 eV/f.u.
* electronic total energy: -2.89 eV/atom
* magnetization: 0.0 μB per formula unit